Record 1
Computed, not measured: Zr5Mn3 after structural relaxation at the PBE-GGA level of DFT.

a = 5.9344 Å, b = 5.9344 Å, c = 4.4005 Å
α = 90.00°, β = 90.00°, γ = 106.81°
Last column: magnetic moment on the atom in μB.
Element x y z (fractional)
1 Zr 0.0000 0.0000 0.0000  -0.23
2 Zr 0.5000 0.0000 0.0000  -0.35
3 Zr 0.0000 0.5000 0.0000  -0.35
4 Zr 0.7145 0.7145 0.5000  -0.29
5 Zr 0.2855 0.2855 0.5000  -0.29
6 Mn 0.5000 0.5000 0.0000  0.37
7 Mn 0.7643 0.2357 0.5000  2.37
8 Mn 0.2357 0.7643 0.5000  2.37

Calculated values
E_form	0.1076	eV/atom

***

Record 2
Computed, not measured: Sn3BiTe after structural relaxation at the PBE-GGA level of DFT.

a = 5.9035 Å, b = 5.9035 Å, c = 5.9035 Å
α = 90.00°, β = 90.00°, γ = 90.00°
Element x y z (fractional)
1 Te 0.5000 0.5000 0.5000
2 Bi 0.0000 0.0000 0.0000
3 Sn 0.0000 0.5000 0.0000
4 Sn 0.0000 0.0000 0.5000
5 Sn 0.5000 0.0000 0.0000

Calculated values
ΔE_f (raw)	0.67	eV per atom

***

Density of states at the Fermi level list, top to bottom, in states/eV per atom: 1.45; 0.76
M_tot list, top to bottom, in μB/f.u.: 3.1; 0.0